Mg2BeAl at its PBEsol-relaxed geometry, computed with meta-GGA SCAN.

The structure belongs to space group Cm (No. 8); the cell edges are 10.175, 2.898 and 4.939 Å and the angles 90.00°, 109.53° and 90.00°. The distinct sites, in fractional coordinates, are Mg at (0.000, 0.000, 0.000), Mg at (0.209, 0.000, 0.657), Be at (0.464, 0.000, 0.499) and Al at (0.271, 0.500, 0.205).

Its energy relative to the lowest polymorph listed for this composition is 0 meV per atom. As for the calculated volume: 17.15 Å³ per atom. The calculation puts the mass density at 2.0 Mg/m³.